# Ho6TlZn | the Alexandria database | GGA-PBE | optimized geometry
# DFT total energy: -64.6 eV/cell
# relative energy among the computed polymorphs: 0.0 meV/atom
# formation energy: -0.15 eV per atom
# V: 28.2 Å³ per atom
# magnetic moment: 0.000 μB/atom
# DOS at the Fermi energy: 1.1404 states/eV per atom
data_Ho6TlZn
_chemical_formula_sum 'Ho12 Tl2 Zn2'
_space_group_name_H-M_alt 'I 4/m m m'
_space_group_IT_number 139
_space_group_name_Hall '-I 4 2'
_cell_length_a 5.009
_cell_length_b 5.009
_cell_length_c 17.998
_cell_angle_alpha 90.00
_cell_angle_beta 90.00
_cell_angle_gamma 90.00
loop_
_atom_site_label
_atom_site_fract_x
_atom_site_fract_y
_atom_site_fract_z
_atom_site_occupancy
Ho1 0.000 0.000 0.249 1
Ho2 0.000 0.500 0.112 1
Tl1 0.000 0.000 0.500 1
Zn1 0.000 0.000 0.000 1